VASP calculation (PBE) on Li2TlCu after structural relaxation.

Values from the calculation:
Theoretical density (g cm⁻³): 6.9
Symmetry: P4/mmm, No. 123
Energy (Ry per atom): -0.195
Density of states at the Fermi level (states/eV per cell): 1.3
Total moment (μB/cell): 0.00

Lattice parameters (Å, degrees): 3.252 3.252 6.413 90.00 90.00 90.00
Element x y z (fractional)
Li: 0.000 0.000 0.212
Li: 0.000 0.000 0.788
Tl: 0.500 0.500 0.500
Cu: 0.500 0.500 0.000


VASP calculation (PBE) on Li2TlCu2 after structural relaxation.

Values from the calculation:
Theoretical density (g cm⁻³): 7.2
Polymorph energy (0 for the lowest one) (eV/atom): 0.0869
Symmetry: P4/mbm, No. 127
Density of states at the Fermi level (states/eV per cell): 2.8
Total moment (μB/cell): 0.00

Lattice parameters (Å, degrees): 7.302 7.302 2.989 90.00 90.00 90.00
Element x y z (fractional)
Li: 0.151 0.349 0.000
Li: 0.349 0.849 0.000
Li: 0.651 0.151 0.000
Li: 0.849 0.651 0.000
Tl: 0.000 0.000 0.000
Tl: 0.500 0.500 0.000
Cu: 0.133 0.633 0.500
Cu: 0.367 0.133 0.500
Cu: 0.633 0.867 0.500
Cu: 0.867 0.367 0.500


VASP calculation (PBE) on LiTl2Cu after structural relaxation.

Values from the calculation:
Theoretical density (g cm⁻³): 9.1
Symmetry: F-43m, No. 216
Energy (Ry per atom): -0.186
Density of states at the Fermi level (states/eV per cell): 1.7
Total moment (μB/cell): 0.00

Lattice parameters (Å, degrees): 4.991 4.991 4.991 60.00 60.00 60.00
Element x y z (fractional)
Li: 0.000 0.000 0.000
Tl: 0.250 0.250 0.250
Tl: 0.500 0.500 0.500
Cu: 0.750 0.750 0.750


VASP calculation (PBE) on Li14TlCu after structural relaxation.

Values from the calculation:
Theoretical density (g cm⁻³): 2.1
Symmetry: P4/mmm, No. 123
Energy (Ry per atom): -0.156
Density of states at the Fermi level (states/eV per cell): 5.9
Total moment (μB/cell): 0.00

Lattice parameters (Å, degrees): 6.725 6.725 6.501 90.00 90.00 90.00
Element x y z (fractional)
Li: 0.000 0.000 0.000
Li: 0.000 0.500 0.000
Li: 0.000 0.500 0.500
Li: 0.237 0.237 0.266
Li: 0.237 0.237 0.734
Li: 0.237 0.763 0.266
Li: 0.237 0.763 0.734
Li: 0.500 0.000 0.000
Li: 0.500 0.000 0.500
Li: 0.500 0.500 0.000
Li: 0.763 0.237 0.266
Li: 0.763 0.237 0.734
Li: 0.763 0.763 0.266
Li: 0.763 0.763 0.734
Tl: 0.500 0.500 0.500
Cu: 0.000 0.000 0.500